A relaxed structure of NaCaBi2, computed with PBE. Values from VASP.

Calculated values
- Calculated formation energy: -296 meV per atom
- E above lowest polymorph: 0.241 eV/atom
- Volume: 276.0 Å³ per cell
- D(E_F): 2.533 states/eV per cell
- Space-group type: No. 122
- Calculated density: 5.79 g cm⁻³

```
&SYSTEM
  ibrav = 0, nat = 8, ntyp = 3
/
ATOMIC_SPECIES
Na 22.99 Na.upf
Ca 40.08 Ca.upf
Bi 208.98 Bi.upf
CELL_PARAMETERS angstrom
-2.553 2.553 10.587
2.553 -2.553 10.587
2.553 2.553 -10.587
ATOMIC_POSITIONS angstrom
Na 0.000 0.000 0.000
Na 0.000 2.553 5.293
Ca 2.553 0.000 5.293
Ca 0.000 0.000 10.587
Bi 3.830 1.255 -2.647
Bi 1.255 1.277 2.647
Bi -1.277 1.298 7.940
Bi 1.298 1.277 13.233
```